# 1
A PBEsol-optimized structure of CaAl2Cu. Source: Alexandria via LeMat-Bulk, functional meta-GGA SCAN.

Cell and atoms, written as POSCAR:
```
CaAl2Cu
1.0
4.208 0.000 0.000
-2.104 3.633 -0.008
0.000 -2.405 5.343
Ca Al Cu
1 2 1
Cartesian
0.000 2.433 2.576 Ca
0.000 0.002 0.500 Al
0.000 0.013 4.676 Al
2.104 1.210 0.247 Cu
```

Output
final energy: -10.383 eV/atom
total moment: 0.0 μB per cell
theoretical density: 3.2 g/cm³
crystal system: monoclinic

=====

# 2
A PBEsol-optimized structure of CaAl8Cu4. Source: Alexandria via LeMat-Bulk, functional meta-GGA SCAN.

Cell and atoms, written as POSCAR:
```
CaAl8Cu4
1.0
-2.766 4.178 0.929
-1.477 0.687 6.490
3.812 5.343 1.303
Al Ca Cu
8 1 4
Cartesian
1.264 6.406 2.910 Al
1.977 3.727 3.103 Al
-0.996 4.820 3.311 Al
0.358 2.303 4.690 Al
-1.695 3.801 5.812 Al
-0.172 7.711 6.745 Al
-0.260 2.497 1.976 Al
0.565 5.387 5.411 Al
0.000 0.000 0.000 Ca
-0.739 0.343 3.245 Cu
0.523 4.760 1.116 Cu
1.906 2.671 0.651 Cu
-2.122 2.432 3.709 Cu
```

Output
final energy: -10.524 eV/atom
total moment: 0.0 μB per cell
theoretical density: 4.3 g/cm³
crystal system: tetragonal

=====

# 3
A PBEsol-optimized structure of CaAl2Cu. Source: Alexandria via LeMat-Bulk, functional meta-GGA SCAN.

Cell and atoms, written as POSCAR:
```
CaAl2Cu
1.0
-3.628 2.346 2.144
1.901 -1.005 4.317
5.219 6.328 -3.520
Cu Al Ca
2 4 2
Cartesian
3.129 2.997 2.014 Cu
0.000 0.000 0.000 Cu
5.217 4.111 1.614 Al
2.340 1.109 3.269 Al
3.219 5.382 2.269 Al
1.740 1.385 0.903 Al
-0.863 0.671 3.231 Ca
0.364 4.673 0.928 Ca
```

Output
final energy: -10.037 eV/atom
total moment: 0.0 μB per cell
theoretical density: 2.7 g/cm³
crystal system: tetragonal

=====

# 4
A PBEsol-optimized structure of CaAl2Cu2. Source: Alexandria via LeMat-Bulk, functional meta-GGA SCAN.

Cell and atoms, written as POSCAR:
```
CaAl2Cu2
1.0
4.283 0.000 0.000
0.000 4.283 0.000
-2.142 -2.142 4.878
Al Ca Cu
2 1 2
Cartesian
0.000 0.000 3.563 Al
2.142 2.142 1.315 Al
0.000 0.000 0.000 Ca
2.142 0.000 2.439 Cu
0.000 2.142 2.439 Cu
```

Output
final energy: -11.385 eV/atom
total moment: 0.0 μB per cell
theoretical density: 4.1 g/cm³
crystal system: tetragonal

=====

> Look up the theoretical density of the third one.

2.7 g/cm³

=====

What did the third record say?
A PBEsol-optimized structure of CaAl2Cu. Source: Alexandria via LeMat-Bulk, functional meta-GGA SCAN.

Cell and atoms, written as POSCAR:
```
CaAl2Cu
1.0
-3.628 2.346 2.144
1.901 -1.005 4.317
5.219 6.328 -3.520
Cu Al Ca
2 4 2
Cartesian
3.129 2.997 2.014 Cu
0.000 0.000 0.000 Cu
5.217 4.111 1.614 Al
2.340 1.109 3.269 Al
3.219 5.382 2.269 Al
1.740 1.385 0.903 Al
-0.863 0.671 3.231 Ca
0.364 4.673 0.928 Ca
```

Output
final energy: -10.037 eV/atom
total moment: 0.0 μB per cell
theoretical density: 2.7 g/cm³
crystal system: tetragonal

=====

> Which of these has the highest final energy?

number 3